(1)
Computed, not measured: crystalline Ta2CrPb at its relaxed geometry at the PBE level of DFT.

Unit cell a=5.7074 b=8.9243 c=2.9810 alpha=90.00 beta=101.17 gamma=90.00
Last column: nearest neighbours and their distance in Å.
Sites, in units of the cell vectors:
Ta: 0.2500 0.2500 0.0000  4 Ta 2.85-2.98, 4 Cr 2.90-3.17, 4 Pb 2.90-3.17
Ta: 0.2500 0.7500 0.0000  4 Ta 2.85-2.98, 4 Cr 2.90-3.17, 4 Pb 2.90-3.17
Ta: 0.7500 0.2500 0.0000  4 Ta 2.85-2.98, 4 Cr 2.90-3.17, 4 Pb 2.90-3.17
Ta: 0.7500 0.7500 0.0000  4 Ta 2.85-2.98, 4 Cr 2.90-3.17, 4 Pb 2.90-3.17
Cr: 0.0000 0.0000 0.5000  2 Pb 2.85, 8 Ta 2.90-3.17, 2 Cr 2.98
Cr: 0.5000 0.5000 0.5000  2 Pb 2.85, 8 Ta 2.90-3.17, 2 Cr 2.98
Pb: 0.0000 0.5000 0.5000  2 Cr 2.85, 8 Ta 2.90-3.17, 2 Pb 2.98
Pb: 0.5000 0.0000 0.5000  2 Cr 2.85, 8 Ta 2.90-3.17, 2 Pb 2.98

Results
**VASP energy**: -8.682 eV/atom
**Energy relative to the elements**: 0.5773 eV per atom

=====

(2)
Computed, not measured: crystalline Li2ErAsSe4 at its relaxed geometry at the PBE level of DFT.

Unit cell a=6.8375 b=3.9601 c=6.8765 alpha=90.00 beta=109.44 gamma=90.00
Last column: nearest neighbours and their distance in Å.
Sites, in units of the cell vectors:
Li: 0.0000 0.0000 0.0000  6 Se 2.76-2.78
Li: 0.0000 0.5000 0.5000  6 Se 2.85-2.86
Er: 0.5000 0.0000 0.5000  6 Se 2.83-2.84
As: 0.5000 0.5000 0.0000  6 Se 2.74-2.75
Se: 0.2508 0.5000 0.2404  1 As 2.74, 3 Li 2.78-2.86, 2 Er 2.83
Se: 0.2555 0.0000 0.7627  2 As 2.75, 3 Li 2.76-2.85, 1 Er 2.84
Se: 0.7445 0.0000 0.2373  2 As 2.75, 3 Li 2.76-2.85, 1 Er 2.84
Se: 0.7492 0.5000 0.7596  1 As 2.74, 3 Li 2.78-2.86, 2 Er 2.83

Results
**VASP energy**: -4.470 eV/atom
**ΔE_f (raw)**: -8.78 eV/f.u.

=====

(3)
Computed, not measured: crystalline Mg2TlPd7 at its relaxed geometry at the PBE level of DFT.

Unit cell a=7.5694 b=7.5694 c=4.3358 alpha=90.00 beta=90.00 gamma=122.63
Last column: nearest neighbours and their distance in Å.
Sites, in units of the cell vectors:
Mg: 0.1995 0.8005 0.0000  5 Pd 2.55-2.65
Mg: 0.8005 0.1995 0.0000  5 Pd 2.55-2.65
Tl: 0.5000 0.5000 0.5000  10 Pd 2.65-2.93
Pd: 0.0000 0.0000 0.0000  2 Mg 2.65, 4 Pd 2.70
Pd: 0.2062 0.4222 0.0000  2 Mg 2.59-2.89, 5 Pd 2.70-2.87
Pd: 0.3001 0.6999 0.5000  2 Mg 2.55, 1 Tl 2.65, 4 Pd 2.83
Pd: 0.4222 0.2062 0.0000  2 Mg 2.59-2.89, 5 Pd 2.70-2.87
Pd: 0.5778 0.7938 0.0000  2 Mg 2.59-2.89, 5 Pd 2.70-2.87
Pd: 0.6999 0.3001 0.5000  2 Mg 2.55, 1 Tl 2.65, 4 Pd 2.83
Pd: 0.7938 0.5778 0.0000  2 Mg 2.59-2.89, 5 Pd 2.70-2.87

Results
**VASP energy**: -4.081 eV/atom
**Energy relative to the elements**: 0.1092 eV per atom